Entry 1:
The following is a PBE calculation of crystalline PmPd6Au6 at its relaxed geometry, from Alexandria via LeMat-Bulk. Values from VASP.

Cell and atoms, written as Quantum ESPRESSO input:
```
&SYSTEM
  ibrav = 0, nat = 13, ntyp = 3
/
ATOMIC_SPECIES
Pd 106.42 Pd.upf
Au 196.97 Au.upf
Pm 145.00 Pm.upf
CELL_PARAMETERS angstrom
5.4787 0.0000 0.0000
2.7393 6.5678 -0.0548
2.7393 0.1025 6.5672
ATOMIC_POSITIONS angstrom
Pd 1.3697 0.0512 3.2836
Pd 5.4787 1.5971 5.0364
Pd 1.3697 3.2839 -0.0274
Au 8.2180 5.3658 5.2389
Au 2.7393 1.3044 1.2736
Pd 4.1090 3.2839 -0.0274
Pm 0.0000 0.0000 0.0000
Pd 5.4787 5.0732 1.4761
Au 5.4787 4.3705 4.2671
Au 2.7393 4.3851 2.1808
Au 2.7393 2.2852 4.3316
Pd 4.1090 0.0512 3.2836
Au 5.4787 2.2998 2.2453
```

## Properties
**Energy of formation**: -0.282 eV per atom
**Magnetic moment**: 0.000 μB per atom
**E**: -4.5570 eV per atom

=====

Entry 2:
The following is a PBE calculation of crystalline Pm2PdAu at its relaxed geometry, from Alexandria via LeMat-Bulk. Values from VASP.

Cell and atoms, written as Quantum ESPRESSO input:
```
&SYSTEM
  ibrav = 0, nat = 4, ntyp = 3
/
ATOMIC_SPECIES
Au 196.97 Au.upf
Pm 145.00 Pm.upf
Pd 106.42 Pd.upf
CELL_PARAMETERS angstrom
4.1806 0.0000 0.0000
2.0903 3.6205 0.0000
2.0903 1.2068 7.1828
ATOMIC_POSITIONS angstrom
Au 4.1806 2.4137 3.5702
Pm 2.0903 1.2068 5.5248
Pm 2.0903 1.2068 1.6551
Pd 4.1806 2.4137 0.0240
```

## Properties
**Energy of formation**: -0.697 eV per atom
**Magnetic moment**: 0.000 μB per atom
**E**: -5.1899 eV per atom

=====

Entry 3:
The following is a PBE calculation of crystalline Pm3Pd2Au6 at its relaxed geometry, from Alexandria via LeMat-Bulk. Values from VASP.

Cell and atoms, written as Quantum ESPRESSO input:
```
&SYSTEM
  ibrav = 0, nat = 11, ntyp = 3
/
ATOMIC_SPECIES
Au 196.97 Au.upf
Pm 145.00 Pm.upf
Pd 106.42 Pd.upf
CELL_PARAMETERS angstrom
3.9570 0.0000 0.0000
0.0000 3.9570 0.0000
-1.9785 -1.9785 15.7091
ATOMIC_POSITIONS angstrom
Au 1.9785 0.0000 13.3782
Pm 0.0000 0.0000 5.5247
Au 1.9785 0.0000 2.3309
Pd 1.9785 1.9785 4.3692
Au 0.0000 0.0000 8.5599
Pm 0.0000 0.0000 0.0000
Pm 1.9785 1.9785 10.1844
Au 0.0000 1.9785 2.3309
Au 0.0000 1.9785 13.3782
Pd 0.0000 0.0000 11.3399
Au 1.9785 1.9785 7.1491
```

## Properties
**Energy of formation**: -0.605 eV per atom
**Magnetic moment**: 0.000 μB per atom
**E**: -4.6321 eV per atom

=====

Entry 4:
The following is a PBE calculation of crystalline PmPdAu at its relaxed geometry, from Alexandria via LeMat-Bulk. Values from VASP.

Cell and atoms, written as Quantum ESPRESSO input:
```
&SYSTEM
  ibrav = 0, nat = 3, ntyp = 3
/
ATOMIC_SPECIES
Pm 145.00 Pm.upf
Au 196.97 Au.upf
Pd 106.42 Pd.upf
CELL_PARAMETERS angstrom
3.6118 0.0000 0.0000
0.0000 4.6468 0.0000
0.0000 -2.3234 4.0242
ATOMIC_POSITIONS angstrom
Pm 2.4079 2.3234 1.3414
Au 0.6027 0.0000 0.0000
Pd 0.6012 0.0000 2.6828
```

## Properties
**Energy of formation**: -0.752 eV per atom
**Magnetic moment**: 0.000 μB per atom
**E**: -5.1592 eV per atom
**Energy above the lowest structure with this stoichiometry**: 0.12 eV/f.u.

=====

Entry 5:
The following is a PBE calculation of crystalline PmPd4Au5 at its relaxed geometry, from Alexandria via LeMat-Bulk. Values from VASP.

Cell and atoms, written as Quantum ESPRESSO input:
```
&SYSTEM
  ibrav = 0, nat = 10, ntyp = 3
/
ATOMIC_SPECIES
Au 196.97 Au.upf
Pd 106.42 Pd.upf
Pm 145.00 Pm.upf
CELL_PARAMETERS angstrom
4.4184 0.0000 -1.5148
-0.4403 5.6696 -1.2843
-0.0002 0.1979 7.2007
ATOMIC_POSITIONS angstrom
Au 2.7899 4.8887 0.9363
Pd 2.9856 2.0569 1.5072
Au 0.2919 1.9298 0.8515
Au 1.9891 2.8348 -1.3995
Pd 0.9923 3.8107 2.8944
Pm 2.2092 0.0000 -0.7574
Pd 3.8803 1.2122 4.1168
Au 3.6860 3.9377 3.5502
Pd 0.0977 4.6553 0.2849
Au 1.1880 0.9789 3.4653
```

## Properties
**Energy of formation**: -0.338 eV per atom
**Magnetic moment**: 0.000 μB per atom
**E**: -4.5284 eV per atom

=====

Entry 6:
The following is a PBE calculation of crystalline PmPd4Au8 at its relaxed geometry, from Alexandria via LeMat-Bulk. Values from VASP.

Cell and atoms, written as Quantum ESPRESSO input:
```
&SYSTEM
  ibrav = 0, nat = 13, ntyp = 3
/
ATOMIC_SPECIES
Pd 106.42 Pd.upf
Au 196.97 Au.upf
Pm 145.00 Pm.upf
CELL_PARAMETERS angstrom
-3.9034 -1.7188 -3.6635
-1.3918 -7.0007 0.4530
-6.6518 0.3620 2.6030
ATOMIC_POSITIONS angstrom
Pd -0.6959 -3.5004 0.2265
Pd -3.3259 0.1810 1.3015
Au -4.8766 -2.1229 1.8774
Au -2.8508 -1.9279 -0.3725
Pm 0.0000 0.0000 0.0000
Au -5.3007 -3.3792 -1.3957
Au -3.1670 -4.5159 1.1786
Au -9.0962 -6.4297 -0.2350
Pd -5.2776 -0.6784 -0.5302
Pd -2.6476 -4.3598 -1.6053
Au -4.4858 -6.2612 -0.9118
Au -6.6463 -4.9783 0.7882
Au -7.4612 -2.0964 0.3043
```

## Properties
**Energy of formation**: -0.282 eV per atom
**Magnetic moment**: 0.000 μB per atom
**E**: -4.2619 eV per atom